BaMn3Ru PBE optimized geometry; energy above the most stable polymorph in this dataset = 1872 meV per atom; ΔH_f (0 K) = 2.546 eV/atom; crystal system = cubic; total magnetization = 2.475 μB per atom; density of states at the Fermi level = 7.84 states/eV/f.u.
1.0
4.941 0.000 0.000
0.000 4.941 0.000
0.000 0.000 4.941
Ba Mn Ru
1 3 1
direct
0.000 0.000 0.000 Ba
0.000 0.000 0.500 Mn
0.000 0.500 0.000 Mn
0.500 0.000 0.000 Mn
0.500 0.500 0.500 Ru

---

Ba2MnRu PBE optimized geometry; energy above the most stable polymorph in this dataset = 520 meV per atom; ΔH_f (0 K) = 0.788 eV/atom; crystal system = cubic; total magnetization = 1.275 μB per atom; density of states at the Fermi level = 3.58 states/eV/f.u.
1.0
0.000 3.904 3.904
3.904 0.000 3.904
3.904 3.904 0.000
Ba Mn Ru
2 1 1
direct
0.250 0.250 0.250 Ba
0.750 0.750 0.750 Ba
0.000 0.000 0.000 Mn
0.500 0.500 0.500 Ru

---

BaMn2Ru PBE optimized geometry; energy above the most stable polymorph in this dataset = 272 meV per atom; ΔH_f (0 K) = 0.623 eV/atom; crystal system = tetragonal; total magnetization = 1.807 μB per atom; density of states at the Fermi level = 6.67 states/eV/f.u.
1.0
3.260 0.000 0.000
0.000 3.260 0.000
0.000 0.000 7.691
Ba Mn Ru
1 2 1
direct
0.000 0.000 0.000 Ba
0.000 0.000 0.537 Mn
0.500 0.500 0.347 Mn
0.500 0.500 0.683 Ru

---

BaMnRu2 PBE optimized geometry; energy above the most stable polymorph in this dataset = 241 meV per atom; ΔH_f (0 K) = 0.561 eV/atom; crystal system = orthorhombic; total magnetization = 0.995 μB per atom; density of states at the Fermi level = 3.48 states/eV/f.u.
1.0
2.999 0.000 0.000
0.000 3.612 0.000
0.000 0.000 7.683
Ba Mn Ru
1 1 2
direct
0.000 0.000 0.000 Ba
0.500 0.500 0.349 Mn
0.000 0.000 0.526 Ru
0.500 0.500 0.673 Ru

---

BaMnRu2 PBE optimized geometry; energy above the most stable polymorph in this dataset = 28 meV per atom; ΔH_f (0 K) = 0.349 eV/atom; crystal system = trigonal; total magnetization = 0.729 μB per atom; density of states at the Fermi level = 3.90 states/eV/f.u.
1.0
2.166 1.251 5.858
-2.166 1.251 5.858
0.000 -2.502 5.858
Ba Mn Ru
1 1 2
direct
0.000 0.000 0.000 Ba
0.500 0.500 0.500 Mn
0.187 0.187 0.187 Ru
0.813 0.813 0.813 Ru

---

Ba2MnRu PBE optimized geometry; energy above the most stable polymorph in this dataset = 121 meV per atom; ΔH_f (0 K) = 0.389 eV/atom; crystal system = orthorhombic; total magnetization = 1.038 μB per atom; density of states at the Fermi level = 3.72 states/eV/f.u.
1.0
4.311 0.000 0.000
0.000 2.477 6.186
0.000 -2.477 6.186
Ba Mn Ru
2 1 1
direct
0.000 0.000 0.000 Ba
0.500 0.279 0.279 Ba
0.000 0.686 0.686 Mn
0.500 0.599 0.599 Ru

---

BaMnRu3 PBE optimized geometry; energy above the most stable polymorph in this dataset = 2316 meV per atom; ΔH_f (0 K) = 3.199 eV/atom; crystal system = cubic; total magnetization = 0.553 μB per atom; density of states at the Fermi level = 10.95 states/eV/f.u.
1.0
4.929 0.000 0.000
0.000 4.929 0.000
0.000 0.000 4.929
Ba Mn Ru
1 1 3
direct
0.000 0.000 0.000 Ba
0.500 0.500 0.500 Mn
0.000 0.000 0.500 Ru
0.000 0.500 0.000 Ru
0.500 0.000 0.000 Ru

---

BaMn2Ru PBE optimized geometry; energy above the most stable polymorph in this dataset = 437 meV per atom; ΔH_f (0 K) = 0.788 eV/atom; crystal system = tetragonal; total magnetization = 1.564 μB per atom; density of states at the Fermi level = 6.88 states/eV/f.u.
1.0
-2.596 2.596 7.953
2.596 -2.596 7.953
2.596 2.596 -7.953
Ba Mn Ru
2 4 2
direct
0.375 0.625 0.750 Ba
0.625 0.375 0.250 Ba
0.000 0.000 0.000 Mn
0.000 0.000 0.500 Mn
0.000 0.500 0.000 Mn
0.500 0.000 0.500 Mn
0.125 0.875 0.250 Ru
0.875 0.125 0.750 Ru

---

BaMnRu2 PBE optimized geometry; energy above the most stable polymorph in this dataset = 618 meV per atom; ΔH_f (0 K) = 0.939 eV/atom; crystal system = orthorhombic; total magnetization = 0.017 μB per atom; density of states at the Fermi level = 4.77 states/eV/f.u.
1.0
-1.605 2.818 4.533
1.605 -2.818 4.533
1.605 2.818 -4.533
Ba Mn Ru
1 1 2
direct
0.000 0.000 0.000 Ba
0.500 0.500 0.000 Mn
0.319 0.819 0.500 Ru
0.681 0.181 0.500 Ru

---

BaMn2Ru PBE optimized geometry; energy above the most stable polymorph in this dataset = 320 meV per atom; ΔH_f (0 K) = 0.671 eV/atom; crystal system = monoclinic; total magnetization = 1.962 μB per atom; density of states at the Fermi level = 4.27 states/eV/f.u.
1.0
3.110 0.000 0.000
0.000 4.216 0.000
-1.138 0.000 6.860
Ba Mn Ru
1 2 1
direct
0.000 0.000 0.000 Ba
0.621 0.500 0.326 Mn
0.677 0.000 0.549 Mn
0.229 0.500 0.615 Ru

---

BaMnRu2 PBE optimized geometry; energy above the most stable polymorph in this dataset = 326 meV per atom; ΔH_f (0 K) = 0.646 eV/atom; crystal system = monoclinic; total magnetization = 0.362 μB per atom; density of states at the Fermi level = 3.44 states/eV/f.u.
1.0
3.937 0.000 0.000
0.000 3.935 0.000
-0.008 0.000 6.028
Ba Mn Ru
1 1 2
direct
0.000 0.000 0.000 Ba
0.499 0.500 0.667 Mn
0.499 0.000 0.470 Ru
0.998 0.500 0.470 Ru

---

BaMnRu2 PBE optimized geometry; energy above the most stable polymorph in this dataset = 0 meV per atom; ΔH_f (0 K) = 0.320 eV/atom; crystal system = trigonal; total magnetization = 0.911 μB per atom; density of states at the Fermi level = 2.88 states/eV/f.u.
1.0
2.171 1.254 5.891
-2.171 1.254 5.891
0.000 -2.507 5.891
Ba Mn Ru
1 1 2
direct
0.000 0.000 0.000 Ba
0.192 0.192 0.192 Mn
0.483 0.483 0.483 Ru
0.811 0.811 0.811 Ru